Crystalline Cu2HgTePd at its relaxed geometry, computed with PBE-GGA.

Values from the calculation:
* ΔE_f (raw): 791 meV per atom
* symmetry: P4/mmm, No. 123

POSCAR file:
```
Cu2HgTePd
1.0
4.724 0.000 0.000
0.000 5.859 0.000
0.000 0.000 4.724
Cu Te Hg Pd
2 1 1 1
Cartesian
0.000 0.000 2.362 Cu
2.362 0.000 0.000 Cu
0.000 0.000 0.000 Te
0.000 2.929 0.000 Hg
2.362 2.929 2.362 Pd
```